4
Lattice="1.731 1.000 12.224 -1.731 1.000 12.224 0.000 -1.999 12.224" Properties=species:S:1:pos:R:3 comment="CeTh2Sn (PBE-GGA, relaxed)" n_ef_per_ev_atom=1.87 e_above_lowest_polymorph_mev_per_atom=510 total_energy_ev_per_atom=-6.02 pbc="T T T"
Ce 0.000 0.000 0.000
Th 0.000 0.000 15.100
Th 0.000 0.000 21.572
Sn 0.000 0.000 18.336

---

5
Lattice="3.740 -2.158 0.000 3.740 2.158 0.000 -0.012 0.000 7.359" Properties=species:S:1:pos:R:3 comment="NbV2Te2 (PBE-GGA, relaxed)" formation_energy_uncorrected_kj_per_mol_fu=-22 n_ef_per_ev_atom=1.16 total_energy_ev_per_atom=-6.96 pbc="T T T"
Nb 0.000 0.000 0.000
V 2.481 0.000 6.631
V 4.987 0.000 0.728
Te 2.494 0.000 2.012
Te 4.973 0.000 5.347

---

3
Lattice="3.013 0.000 0.000 -1.506 2.609 0.000 0.000 0.000 6.782" Properties=species:S:1:pos:R:3 comment="YFeRe (PBE-GGA, relaxed)" n_ef_per_ev_atom=1.07 e_above_lowest_polymorph_mev_per_atom=694 total_energy_ev_per_atom=-8.52 pbc="T T T"
Y 0.000 0.000 0.000
Fe 1.506 0.870 2.451
Re 0.000 1.740 4.244

---

15
Lattice="-3.690 3.690 2.303 3.690 -3.690 2.303 3.690 3.690 -2.303" Properties=species:S:1:pos:R:3 comment="Hf4MoH10 (PBE-GGA, relaxed)" n_ef_per_ev_atom=0.25 total_energy_ev_per_atom=-6.00 pbc="T T T"
Hf 5.189 0.775 0.000
Hf 0.775 2.190 0.000
Hf 2.914 1.499 2.303
Hf -1.499 2.914 2.303
Mo 0.000 0.000 2.303
H 4.383 2.261 -1.120
H 2.261 2.997 -1.120
H 3.690 0.000 1.151
H 1.429 0.693 1.183
H -0.693 1.429 1.183
H 4.383 2.261 1.120
H 2.261 2.997 1.120
H 0.000 3.690 1.151
H 1.429 0.693 3.422
H -0.693 1.429 3.422

---

4
Lattice="4.018 0.000 0.000 0.000 4.353 0.000 -0.644 0.000 3.988" Properties=species:S:1:pos:R:3 comment="ReWSe2 (PBE-GGA, relaxed)" formation_energy_uncorrected_kj_per_mol_fu=322 n_ef_per_ev_atom=0.77 e_above_lowest_polymorph_mev_per_atom=828 total_energy_ev_per_atom=-7.26 pbc="T T T"
Re 0.000 0.000 0.000
W 1.687 0.000 1.994
Se 0.511 2.176 3.002
Se 2.863 2.176 0.986

---

4
Lattice="1.685 0.973 10.074 -1.685 0.973 10.074 0.000 -1.946 10.074" Properties=species:S:1:pos:R:3 comment="La2TaMo (PBE-GGA, relaxed)" n_ef_per_ev_atom=0.87 e_above_lowest_polymorph_mev_per_atom=189 total_energy_ev_per_atom=-7.71 pbc="T T T"
La 0.000 0.000 0.000
La 0.000 0.000 6.920
Ta 0.000 0.000 14.300
Mo 0.000 0.000 22.587

---

32
Lattice="10.425 0.000 0.000 0.000 10.425 0.000 0.000 0.000 6.419" Properties=species:S:1:pos:R:3 comment="CaGaGe2 (PBE-GGA, relaxed)" n_ef_per_ev_atom=0.41 total_energy_ev_per_atom=-3.75 pbc="T T T"
Ca 1.793 3.420 1.605
Ca 1.793 3.420 4.814
Ca 3.420 8.632 1.605
Ca 3.420 8.632 4.814
Ca 7.005 1.793 1.605
Ca 7.005 1.793 4.814
Ca 8.632 7.005 1.605
Ca 8.632 7.005 4.814
Ga 0.587 8.752 0.000
Ga 1.673 0.587 3.209
Ga 3.539 5.800 3.209
Ga 4.625 3.539 0.000
Ga 5.800 6.886 0.000
Ga 6.886 4.625 3.209
Ga 8.752 9.838 3.209
Ga 9.838 1.673 0.000
Ge 0.617 8.656 3.209
Ge 0.912 6.183 0.000
Ge 0.971 6.125 3.209
Ge 1.769 0.617 0.000
Ge 3.443 5.829 0.000
Ge 4.242 0.912 3.209
Ge 4.300 0.971 0.000
Ge 4.596 3.443 3.209
Ge 5.829 6.982 3.209
Ge 6.125 9.454 0.000
Ge 6.183 9.513 3.209
Ge 6.982 4.596 0.000
Ge 8.656 9.808 0.000
Ge 9.454 4.300 3.209
Ge 9.513 4.242 0.000
Ge 9.808 1.769 3.209

---

8
Lattice="2.784 -4.985 0.000 2.784 4.985 0.000 -2.694 0.000 4.701" Properties=species:S:1:pos:R:3 comment="Ti6CoCu (PBE-GGA, relaxed)" n_ef_per_ev_atom=1.49 e_above_lowest_polymorph_mev_per_atom=345 total_energy_ev_per_atom=-7.09 pbc="T T T"
Ti 0.707 2.868 3.532
Ti 2.166 2.868 1.169
Ti 2.024 0.000 1.127
Ti 0.849 0.000 3.574
Ti 0.707 -2.868 3.532
Ti 2.166 -2.868 1.169
Co 0.000 0.000 0.000
Cu -1.347 0.000 2.351